ErSn2Ru: optimized geometry, PBE.

The structure in POSCAR format:
```
ErSn2Ru
1.0
-2.530 0.591 3.665
-4.460 0.383 -0.386
-2.799 -4.657 1.573
Er Sn Ru
1 2 1
Direct
0.000 0.000 0.000
0.773 0.773 0.681
0.227 0.227 0.319
0.500 0.500 0.500
```

Computed properties:
- Uncorrected energy: -0.4277 Ry per atom
- Volume: 22.0 Å³ per atom
- SG: R-3m (166)
- E_form: -34 kJ/mol of atoms
- Magnetic moment: 0.0 μB per formula unit

***

Ni4Sb2S: optimized geometry, PBE.

The structure in POSCAR format:
```
Ni4Sb2S
1.0
4.092 0.000 0.000
0.000 4.092 0.000
2.046 2.046 7.109
Ni S Sb
4 1 2
Direct
0.851 0.851 0.298
0.149 0.149 0.702
0.000 0.500 0.000
0.500 0.000 0.000
0.000 0.000 0.000
0.671 0.671 0.657
0.329 0.329 0.343
```

Computed properties:
- Uncorrected energy: -0.3668 Ry per atom
- Volume: 17.0 Å³ per atom
- SG: I4/mmm (139)
- E_form (uncorrected): 80 meV/atom
- Magnetic moment: 0.0 μB per formula unit

***

ScTe2IrI: optimized geometry, PBE.

The structure in POSCAR format:
```
ScTe2IrI
1.0
-3.648 -0.385 -3.824
-3.519 -1.787 3.537
-1.535 4.938 0.968
I Sc Te Ir
1 1 2 1
Direct
0.000 0.000 0.500
0.500 0.500 0.500
0.000 0.500 0.000
0.500 0.000 0.000
0.000 0.000 0.000
```

Computed properties:
- Uncorrected energy: -0.3214 Ry per atom
- Volume: 29.6 Å³ per atom
- Energy relative to the lowest polymorph listed for this composition: 0.0000 eV per atom
- SG: P4/mmm (123)
- E_form (uncorrected): 232 meV/atom
- Magnetic moment: 0.0 μB per formula unit

***

MoP2OsS: optimized geometry, PBE.

The structure in POSCAR format:
```
MoP2OsS
1.0
-2.250 3.624 1.220
-3.479 -2.528 1.092
1.841 -0.466 4.782
S P Os Mo
1 2 1 1
Direct
0.000 0.000 0.500
0.000 0.500 0.000
0.500 0.000 0.000
0.000 0.000 0.000
0.500 0.500 0.500
```

Computed properties:
- Uncorrected energy: -0.4659 Ry per atom
- Volume: 20.3 Å³ per atom
- Energy relative to the lowest polymorph listed for this composition: 0.0000 eV per atom
- SG: P4/mmm (123)
- E_form (uncorrected): 1063 meV/atom
- Magnetic moment: 3.5 μB per formula unit

***

AcThH2: optimized geometry, PBE.

The structure in POSCAR format:
```
AcThH2
1.0
3.676 0.000 0.000
1.838 3.184 0.000
1.838 1.061 6.611
Th H Ac
1 2 1
Direct
0.497 0.497 0.510
0.241 0.241 0.278
0.092 0.092 0.724
0.671 0.671 0.988
```

Computed properties:
- Uncorrected energy: -0.3441 Ry per atom
- Volume: 19.3 Å³ per atom
- Energy relative to the lowest polymorph listed for this composition: 0.1463 eV per atom
- SG: R3m (160)
- Magnetic moment: 0.0 μB per formula unit

***

LiMg2Pd3: optimized geometry, PBE.

The structure in POSCAR format:
```
LiMg2Pd3
1.0
-0.916 -0.268 -2.868
0.721 -2.935 0.045
-9.214 -2.216 3.149
Pd Li Mg
3 1 2
Direct
0.000 0.000 0.000
0.000 0.000 0.654
0.000 0.000 0.346
0.500 0.500 0.500
0.500 0.500 0.177
0.500 0.500 0.823
```

Computed properties:
- Uncorrected energy: -0.3009 Ry per atom
- Volume: 15.2 Å³ per atom
- Energy relative to the lowest polymorph listed for this composition: 0.0053 eV per atom
- SG: P4/mmm (123)
- E_form: -62 kJ/mol of atoms
- Magnetic moment: 0.0 μB per formula unit

***

CdSbTe2: optimized geometry, PBE.

The structure in POSCAR format:
```
CdSbTe2
1.0
-0.021 1.951 5.954
-5.980 1.771 -0.602
-5.388 -5.393 5.045
Cd Sb Te
2 2 4
Direct
0.250 0.750 0.500
0.500 0.500 0.000
0.750 0.250 0.500
0.000 0.000 0.000
0.133 0.625 0.250
0.375 0.383 0.750
0.875 0.867 0.750
0.617 0.125 0.250
```

Computed properties:
- Uncorrected energy: -0.2077 Ry per atom
- Volume: 39.2 Å³ per atom
- Energy relative to the lowest polymorph listed for this composition: 0.1633 eV per atom
- SG: I-42d (122)
- E_form (uncorrected): 4 meV/atom
- Magnetic moment: 0.0 μB per formula unit

***

Zn3Ni20P6: optimized geometry, PBE.

The structure in POSCAR format:
```
Zn3Ni20P6
1.0
0.097 -7.231 2.957
0.716 -6.156 -4.757
6.619 -4.151 -0.047
Zn Ni P
3 20 6
Direct
0.000 0.000 0.000
0.750 0.750 0.750
0.250 0.250 0.250
0.000 0.346 0.000
0.346 0.654 0.000
0.143 0.619 0.619
0.654 0.346 0.000
0.654 0.000 0.000
0.000 0.654 0.346
0.381 0.381 0.857
0.346 0.000 0.654
0.000 0.346 0.654
0.000 0.000 0.346
0.619 0.619 0.143
0.381 0.381 0.381
0.654 0.000 0.346
0.346 0.000 0.000
0.619 0.143 0.619
0.000 0.654 0.000
0.000 0.000 0.654
0.857 0.381 0.381
0.619 0.619 0.619
0.381 0.857 0.381
0.268 0.732 0.268
0.268 0.268 0.732
0.732 0.268 0.268
0.268 0.732 0.732
0.732 0.732 0.268
0.732 0.268 0.732
```

Computed properties:
- Uncorrected energy: -0.4146 Ry per atom
- Volume: 11.6 Å³ per atom
- SG: Fm-3m (225)
- E_form: -39 kJ/mol of atoms
- Magnetic moment: 0.0 μB per formula unit